# PrZnGaPt (PBE, relaxed)
data_PrZnGaPt
_cell_length_a 4.7653
_cell_length_b 4.7653
_cell_length_c 4.7653
_cell_angle_alpha 60.00
_cell_angle_beta 60.00
_cell_angle_gamma 60.00
_space_group_name_H-M_alt 'P 1'
_space_group_IT_number 1
_space_group_name_Hall 'P 1'
loop_
_atom_site_label
_atom_site_type_symbol
_atom_site_fract_x
_atom_site_fract_y
_atom_site_fract_z
_atom_site_occupancy
Pr1 Pr 0.0000 0.0000 0.0000 1
Zn1 Zn 0.2500 0.2500 0.2500 1
Ga1 Ga 0.7500 0.7500 0.7500 1
Pt1 Pt 0.5000 0.5000 0.5000 1
# - N(E_F) (states/eV/cell) = 1.38
# - calculated density (g/cm3) = 10.224
# - ΔH_f (0 K) (meV/atom) = -596
# - uncorrected energy (eV/atom) = -4.38
# - symmetry = F-43m (216)

---

# PrZnGaPt2 (PBE, relaxed)
data_PrZnGaPt2
_cell_length_a 6.5334
_cell_length_b 6.5334
_cell_length_c 6.5334
_cell_angle_alpha 143.34
_cell_angle_beta 143.34
_cell_angle_gamma 52.82
_space_group_name_H-M_alt 'P 1'
_space_group_IT_number 1
_space_group_name_Hall 'P 1'
loop_
_atom_site_label
_atom_site_type_symbol
_atom_site_fract_x
_atom_site_fract_y
_atom_site_fract_z
_atom_site_occupancy
Pr1 Pr 0.0000 0.0000 0.0000 1
Zn1 Zn 0.7500 0.2500 0.5000 1
Ga1 Ga 0.2500 0.7500 0.5000 1
Pt1 Pt 0.3843 0.3843 0.0000 1
Pt2 Pt 0.6157 0.6157 0.0000 1
# - N(E_F) (states/eV/cell) = 2.89
# - calculated density (g/cm3) = 11.195
# - ΔH_f (0 K) (meV/atom) = -855
# - uncorrected energy (eV/atom) = -5.09
# - symmetry = I-4m2 (119)

---

# PrPuGa2 (PBE, relaxed)
data_PrPuGa2
_cell_length_a 5.1764
_cell_length_b 5.1764
_cell_length_c 5.1764
_cell_angle_alpha 60.00
_cell_angle_beta 60.00
_cell_angle_gamma 60.00
_space_group_name_H-M_alt 'P 1'
_space_group_IT_number 1
_space_group_name_Hall 'P 1'
loop_
_atom_site_label
_atom_site_type_symbol
_atom_site_fract_x
_atom_site_fract_y
_atom_site_fract_z
_atom_site_occupancy
Pr1 Pr 0.0000 0.0000 0.0000 1
Pu1 Pu 0.5000 0.5000 0.5000 1
Ga1 Ga 0.2500 0.2500 0.2500 1
Ga2 Ga 0.7500 0.7500 0.7500 1
# - N(E_F) (states/eV/cell) = 8.79
# - calculated density (g/cm3) = 8.878
# - ΔH_f (0 K) (meV/atom) = -357
# - polymorph energy (0 for the lowest one) (meV per atom) = 13
# - uncorrected energy (eV/atom) = -6.65
# - symmetry = Fm-3m (225)

---

# PrPuGa2 (PBE, relaxed)
data_PrPuGa2
_cell_length_a 9.4801
_cell_length_b 9.4801
_cell_length_c 9.4801
_cell_angle_alpha 22.10
_cell_angle_beta 22.10
_cell_angle_gamma 22.10
_space_group_name_H-M_alt 'P 1'
_space_group_IT_number 1
_space_group_name_Hall 'P 1'
loop_
_atom_site_label
_atom_site_type_symbol
_atom_site_fract_x
_atom_site_fract_y
_atom_site_fract_z
_atom_site_occupancy
Pr1 Pr 0.0000 0.0000 0.0000 1
Pu1 Pu 0.5000 0.5000 0.5000 1
Ga1 Ga 0.2482 0.2482 0.2482 1
Ga2 Ga 0.7518 0.7518 0.7518 1
# - N(E_F) (states/eV/cell) = 8.57
# - calculated density (g/cm3) = 8.237
# - ΔH_f (0 K) (meV/atom) = -168
# - polymorph energy (0 for the lowest one) (meV per atom) = 202
# - uncorrected energy (eV/atom) = -6.46
# - symmetry = R-3m (166)

---

# PrPuGa2 (PBE, relaxed)
data_PrPuGa2
_cell_length_a 3.3833
_cell_length_b 3.3833
_cell_length_c 8.3939
_cell_angle_alpha 90.00
_cell_angle_beta 90.00
_cell_angle_gamma 90.00
_space_group_name_H-M_alt 'P 1'
_space_group_IT_number 1
_space_group_name_Hall 'P 1'
loop_
_atom_site_label
_atom_site_type_symbol
_atom_site_fract_x
_atom_site_fract_y
_atom_site_fract_z
_atom_site_occupancy
Pr1 Pr 0.0000 0.0000 0.0000 1
Pu1 Pu 0.0000 0.0000 0.5000 1
Ga1 Ga 0.5000 0.5000 0.2582 1
Ga2 Ga 0.5000 0.5000 0.7418 1
# - N(E_F) (states/eV/cell) = 8.26
# - calculated density (g/cm3) = 9.062
# - ΔH_f (0 K) (meV/atom) = -370
# - polymorph energy (0 for the lowest one) (meV per atom) = 0
# - uncorrected energy (eV/atom) = -6.66
# - symmetry = P4/mmm (123)

---

# Pr2PuGa (PBE, relaxed)
data_Pr2PuGa
_cell_length_a 3.6803
_cell_length_b 3.6803
_cell_length_c 8.6231
_cell_angle_alpha 90.00
_cell_angle_beta 90.00
_cell_angle_gamma 90.00
_space_group_name_H-M_alt 'P 1'
_space_group_IT_number 1
_space_group_name_Hall 'P 1'
loop_
_atom_site_label
_atom_site_type_symbol
_atom_site_fract_x
_atom_site_fract_y
_atom_site_fract_z
_atom_site_occupancy
Pr1 Pr 0.0000 0.0000 0.2160 1
Pr2 Pr 0.0000 0.0000 0.7840 1
Pu1 Pu 0.5000 0.5000 0.5000 1
Ga1 Ga 0.5000 0.5000 0.0000 1
# - N(E_F) (states/eV/cell) = 7.15
# - calculated density (g/cm3) = 8.467
# - ΔH_f (0 K) (meV/atom) = -141
# - polymorph energy (0 for the lowest one) (meV per atom) = 0
# - uncorrected energy (eV/atom) = -6.87
# - symmetry = P4/mmm (123)

---

# PrPuGa4 (PBE, relaxed)
data_PrPuGa4
_cell_length_a 5.6034
_cell_length_b 5.6034
_cell_length_c 5.6034
_cell_angle_alpha 60.00
_cell_angle_beta 60.00
_cell_angle_gamma 60.00
_space_group_name_H-M_alt 'P 1'
_space_group_IT_number 1
_space_group_name_Hall 'P 1'
loop_
_atom_site_label
_atom_site_type_symbol
_atom_site_fract_x
_atom_site_fract_y
_atom_site_fract_z
_atom_site_occupancy
Pr1 Pr 0.0000 0.0000 0.0000 1
Pu1 Pu 0.7500 0.7500 0.7500 1
Ga1 Ga 0.3754 0.3754 0.3754 1
Ga2 Ga 0.3754 0.3754 0.8737 1
Ga3 Ga 0.3754 0.8737 0.3754 1
Ga4 Ga 0.8737 0.3754 0.3754 1
# - N(E_F) (states/eV/cell) = 15.14
# - calculated density (g/cm3) = 8.860
# - ΔH_f (0 K) (meV/atom) = -442
# - polymorph energy (0 for the lowest one) (meV per atom) = 43
# - uncorrected energy (eV/atom) = -5.65
# - symmetry = F-43m (216)

---

# PrPu2Ga6 (PBE, relaxed)
data_PrPu2Ga6
_cell_length_a 7.8468
_cell_length_b 7.8468
_cell_length_c 3.5882
_cell_angle_alpha 90.00
_cell_angle_beta 90.00
_cell_angle_gamma 120.00
_space_group_name_H-M_alt 'P 1'
_space_group_IT_number 1
_space_group_name_Hall 'P 1'
loop_
_atom_site_label
_atom_site_type_symbol
_atom_site_fract_x
_atom_site_fract_y
_atom_site_fract_z
_atom_site_occupancy
Pr1 Pr 0.0000 0.0000 0.0000 1
Pu1 Pu 0.3333 0.6667 0.0000 1
Pu2 Pu 0.6667 0.3333 0.0000 1
Ga1 Ga 0.0000 0.3355 0.5000 1
Ga2 Ga 0.0000 0.6645 0.5000 1
Ga3 Ga 0.3355 0.0000 0.5000 1
Ga4 Ga 0.3355 0.3355 0.5000 1
Ga5 Ga 0.6645 0.0000 0.5000 1
Ga6 Ga 0.6645 0.6645 0.5000 1
# - N(E_F) (states/eV/cell) = 16.12
# - calculated density (g/cm3) = 9.089
# - ΔH_f (0 K) (meV/atom) = -440
# - uncorrected energy (eV/atom) = -6.17
# - symmetry = P6/mmm (191)

---

# PrPuGa6 (PBE, relaxed)
data_PrPuGa6
_cell_length_a 6.3704
_cell_length_b 6.3704
_cell_length_c 4.6227
_cell_angle_alpha 90.00
_cell_angle_beta 90.00
_cell_angle_gamma 120.00
_space_group_name_H-M_alt 'P 1'
_space_group_IT_number 1
_space_group_name_Hall 'P 1'
loop_
_atom_site_label
_atom_site_type_symbol
_atom_site_fract_x
_atom_site_fract_y
_atom_site_fract_z
_atom_site_occupancy
Pr1 Pr 0.0000 0.0000 0.0000 1
Pu1 Pu 0.3333 0.6667 0.5000 1
Ga1 Ga 0.3772 0.1886 0.5000 1
Ga2 Ga 0.5165 0.0329 0.0000 1
Ga3 Ga 0.5165 0.4835 0.0000 1
Ga4 Ga 0.8114 0.1886 0.5000 1
Ga5 Ga 0.8114 0.6228 0.5000 1
Ga6 Ga 0.9671 0.4835 0.0000 1
# - N(E_F) (states/eV/cell) = 11.04
# - calculated density (g/cm3) = 8.209
# - ΔH_f (0 K) (meV/atom) = -469
# - uncorrected energy (eV/atom) = -5.13
# - symmetry = P-6m2 (187)

---

# PrPuGa4 (PBE, relaxed)
data_PrPuGa4
_cell_length_a 5.8835
_cell_length_b 5.8835
_cell_length_c 5.8835
_cell_angle_alpha 135.88
_cell_angle_beta 98.23
_cell_angle_gamma 97.99
_space_group_name_H-M_alt 'P 1'
_space_group_IT_number 1
_space_group_name_Hall 'P 1'
loop_
_atom_site_label
_atom_site_type_symbol
_atom_site_fract_x
_atom_site_fract_y
_atom_site_fract_z
_atom_site_occupancy
Pr1 Pr 0.0000 0.0000 0.0000 1
Pu1 Pu 0.5000 0.5000 0.0000 1
Ga1 Ga 0.0923 0.7593 0.3330 1
Ga2 Ga 0.4262 0.7593 0.6670 1
Ga3 Ga 0.5738 0.2407 0.3330 1
Ga4 Ga 0.9077 0.2407 0.6670 1
# - N(E_F) (states/eV/cell) = 11.56
# - calculated density (g/cm3) = 8.389
# - ΔH_f (0 K) (meV/atom) = -485
# - polymorph energy (0 for the lowest one) (meV per atom) = 0
# - uncorrected energy (eV/atom) = -5.69
# - symmetry = Immm (71)

---

# Pr2PuGa (PBE, relaxed)
data_Pr2PuGa
_cell_length_a 4.9357
_cell_length_b 4.9357
_cell_length_c 4.5609
_cell_angle_alpha 90.00
_cell_angle_beta 90.00
_cell_angle_gamma 90.00
_space_group_name_H-M_alt 'P 1'
_space_group_IT_number 1
_space_group_name_Hall 'P 1'
loop_
_atom_site_label
_atom_site_type_symbol
_atom_site_fract_x
_atom_site_fract_y
_atom_site_fract_z
_atom_site_occupancy
Pr1 Pr 0.0000 0.5000 0.0000 1
Pr2 Pr 0.5000 0.0000 0.0000 1
Pu1 Pu 0.0000 0.0000 0.5000 1
Ga1 Ga 0.5000 0.5000 0.5000 1
# - N(E_F) (states/eV/cell) = 10.79
# - calculated density (g/cm3) = 8.900
# - ΔH_f (0 K) (meV/atom) = -130
# - polymorph energy (0 for the lowest one) (meV per atom) = 11
# - uncorrected energy (eV/atom) = -6.86
# - symmetry = P4/mmm (123)

---

# Pr2PuGa3Rh4 (PBE, relaxed)
data_Pr2PuGa3Rh4
_cell_length_a 4.3395
_cell_length_b 4.3395
_cell_length_c 10.7146
_cell_angle_alpha 90.00
_cell_angle_beta 90.00
_cell_angle_gamma 90.00
_space_group_name_H-M_alt 'P 1'
_space_group_IT_number 1
_space_group_name_Hall 'P 1'
loop_
_atom_site_label
_atom_site_type_symbol
_atom_site_fract_x
_atom_site_fract_y
_atom_site_fract_z
_atom_site_occupancy
Pr1 Pr 0.0000 0.5000 0.2253 1
Pr2 Pr 0.5000 0.0000 0.7747 1
Pu1 Pu 0.0000 0.0000 0.5000 1
Ga1 Ga 0.0000 0.5000 0.8830 1
Ga2 Ga 0.5000 0.0000 0.1170 1
Ga3 Ga 0.5000 0.5000 0.5000 1
Rh1 Rh 0.0000 0.0000 0.0000 1
Rh2 Rh 0.0000 0.5000 0.6478 1
Rh3 Rh 0.5000 0.0000 0.3522 1
Rh4 Rh 0.5000 0.5000 0.0000 1
# - N(E_F) (states/eV/cell) = 11.69
# - calculated density (g/cm3) = 9.436
# - ΔH_f (0 K) (meV/atom) = -719
# - uncorrected energy (eV/atom) = -6.96
# - symmetry = P-4m2 (115)